Density functional theory data (PBE) for P2S2Cl after structural relaxation.

Summary:
* DOS at the Fermi energy: 0.73 states/eV/atom
* formation energy from raw total energies: 1.013 eV/atom
* VASP energy: -3.1710 eV per atom
* relative energy among the computed polymorphs: 942.2 meV per atom

Cell: 4.6832 4.6832 4.5134 Å, 90.00 90.00 90.00°
Space group P4/mmm (No. 123)
One atom of each set of equivalent atoms:
P  0.0000  0.5000  0.0000 x2
S  0.0000  0.0000  0.0000 x1
S  0.0000  0.0000  0.5000 x1
Cl  0.5000  0.5000  0.5000 x1

---

Density functional theory data (PBE) for P2SCl after structural relaxation.

Summary:
* DOS at the Fermi energy: 0.38 states/eV/atom
* formation energy from raw total energies: 0.434 eV/atom
* VASP energy: -3.7642 eV per atom
* relative energy among the computed polymorphs: 0.0 meV per atom

Cell: 4.5598 4.5598 15.7811 Å, 90.00 90.00 90.00°
Space group I-42d (No. 122)
One atom of each set of equivalent atoms:
P  0.0941  0.2500  0.1250 x8
S  0.0000  0.0000  0.0000 x4
Cl  0.0000  0.0000  0.5000 x4

---

Density functional theory data (PBE) for P2S3Cl after structural relaxation.

Summary:
* DOS at the Fermi energy: 0.30 states/eV/atom
* formation energy from raw total energies: -0.075 eV/atom
* VASP energy: -4.2496 eV per atom

Cell: 19.3361 3.9564 9.9668 Å, 90.00 100.37 90.00°
Space group C2/m (No. 12)
One atom of each set of equivalent atoms:
P  0.0305  0.0000  0.2226 x4
P  0.1908  0.5000  0.2557 x4
S  0.0535  0.0000  0.7012 x4
S  0.0990  0.5000  0.3408 x4
S  0.2368  0.0000  0.3012 x4
Cl  0.1557  0.5000  0.0487 x4